First-principles (PBE with a Hubbard U) data for a geometry-optimized HWNO2 structure, as listed in the Alexandria database.

a b c (Å): 3.8722 3.8722 4.0495
angles (deg): 90.00 90.00 90.00
Positions (direct):
H  0.0000  0.0000  0.0000
W  0.5000  0.5000  0.5000
N  0.5000  0.5000  0.0000
O  0.0000  0.5000  0.5000
O  0.5000  0.0000  0.5000

Calculated values
symmetry	No. 123
final energy	-6.01	eV/atom
M_tot	0.0	μB per formula unit